Record 1
Density functional theory data (PBE-GGA) for a geometry-optimized CsHg structure.

Calculated values
crystal system	hexagonal

a = 4.7186 Å, b = 4.7186 Å, c = 5.4095 Å
α = 90.00°, β = 90.00°, γ = 120.00°
Space group P-6m2 (No. 187)
Inequivalent atoms, fractional coordinates:
1 Cs 0.0000 0.0000 0.0000 (multiplicity 1)
2 Hg 0.6667 0.3333 0.5000 (multiplicity 1)

---

Record 2
Density functional theory data (PBE-GGA) for a geometry-optimized CsHg8 structure.

Calculated values
crystal system	hexagonal

a = 9.8419 Å, b = 9.8419 Å, c = 3.7045 Å
α = 90.00°, β = 90.00°, γ = 120.00°
Space group P6/mmm (No. 191)
Inequivalent atoms, fractional coordinates:
1 Cs 0.0000 0.0000 0.0000 (multiplicity 1)
2 Hg 0.1729 0.3458 0.5000 (multiplicity 6)
3 Hg 0.3333 0.6667 0.5000 (multiplicity 2)

---

Record 3
Density functional theory data (PBE-GGA) for a geometry-optimized CsHg4 structure.

Calculated values
energy above the lowest structure with this stoichiometry	0	meV per atom
crystal system	tetragonal

a = 4.998 Å, b = 4.998 Å, c = 12.966 Å
α = 90.00°, β = 90.00°, γ = 90.00°
Space group I4/mmm (No. 139)
Inequivalent atoms, fractional coordinates:
1 Cs 0.000 0.000 0.000 (multiplicity 2)
2 Hg 0.000 0.000 0.386 (multiplicity 4)
3 Hg 0.000 0.500 0.250 (multiplicity 4)

---

Record 4
Density functional theory data (PBE-GGA) for a geometry-optimized CsHoHgS3 structure.

Calculated values
crystal system	monoclinic

a = 8.980 Å, b = 4.150 Å, c = 10.367 Å
α = 90.00°, β = 110.81°, γ = 90.00°
Space group P2_1/m (No. 11)
Inequivalent atoms, fractional coordinates:
1 Cs 0.235 0.250 0.257 (multiplicity 2)
2 Ho 0.329 0.750 0.869 (multiplicity 2)
3 Hg 0.089 0.250 0.621 (multiplicity 2)
4 S 0.118 0.250 0.870 (multiplicity 2)
5 S 0.227 0.750 0.561 (multiplicity 2)
6 S 0.475 0.750 0.140 (multiplicity 2)

---

Record 5
Density functional theory data (PBE-GGA) for a geometry-optimized CsHoHgS3 structure.

Calculated values
crystal system	monoclinic

a = 17.817 Å, b = 4.112 Å, c = 9.233 Å
α = 90.00°, β = 100.86°, γ = 90.00°
Space group C2/m (No. 12)
Inequivalent atoms, fractional coordinates:
1 Cs 0.151 0.000 0.063 (multiplicity 4)
2 Ho 0.167 0.000 0.564 (multiplicity 4)
3 Hg 0.014 0.500 0.726 (multiplicity 4)
4 S 0.000 0.000 0.500 (multiplicity 2)
5 S 0.000 0.500 0.000 (multiplicity 2)
6 S 0.161 0.500 0.757 (multiplicity 4)
7 S 0.177 0.500 0.373 (multiplicity 4)

---

Record 6
Density functional theory data (PBE-GGA) for a geometry-optimized CsHoHgSe3 structure.

Calculated values
crystal system	monoclinic

a = 18.590 Å, b = 4.259 Å, c = 9.567 Å
α = 90.00°, β = 100.86°, γ = 90.00°
Space group C2/m (No. 12)
Inequivalent atoms, fractional coordinates:
1 Cs 0.150 0.000 0.062 (multiplicity 4)
2 Ho 0.169 0.000 0.566 (multiplicity 4)
3 Hg 0.014 0.500 0.722 (multiplicity 4)
4 Se 0.000 0.000 0.500 (multiplicity 2)
5 Se 0.000 0.500 0.000 (multiplicity 2)
6 Se 0.164 0.500 0.762 (multiplicity 4)
7 Se 0.174 0.500 0.369 (multiplicity 4)

---

Record 7
Density functional theory data (PBE-GGA) for a geometry-optimized CsHoHgSe3 structure.

Calculated values
crystal system	monoclinic

a = 9.309 Å, b = 4.291 Å, c = 10.698 Å
α = 90.00°, β = 111.17°, γ = 90.00°
Space group P2_1/m (No. 11)
Inequivalent atoms, fractional coordinates:
1 Cs 0.234 0.250 0.257 (multiplicity 2)
2 Ho 0.327 0.750 0.868 (multiplicity 2)
3 Hg 0.085 0.250 0.620 (multiplicity 2)
4 Se 0.115 0.250 0.873 (multiplicity 2)
5 Se 0.231 0.750 0.560 (multiplicity 2)
6 Se 0.474 0.750 0.145 (multiplicity 2)

---

Record 8
Density functional theory data (PBE-GGA) for a geometry-optimized CsHoHgTe3 structure.

Calculated values
crystal system	monoclinic

a = 20.165 Å, b = 4.502 Å, c = 10.089 Å
α = 90.00°, β = 100.82°, γ = 90.00°
Space group C2/m (No. 12)
Inequivalent atoms, fractional coordinates:
1 Cs 0.149 0.000 0.061 (multiplicity 4)
2 Ho 0.172 0.000 0.566 (multiplicity 4)
3 Hg 0.020 0.500 0.718 (multiplicity 4)
4 Te 0.000 0.000 0.500 (multiplicity 2)
5 Te 0.000 0.500 0.000 (multiplicity 2)
6 Te 0.167 0.500 0.769 (multiplicity 4)
7 Te 0.174 0.500 0.363 (multiplicity 4)

---

Record 9
Density functional theory data (PBE-GGA) for a geometry-optimized CsHoHgTe3 structure.

Calculated values
crystal system	monoclinic

a = 9.588 Å, b = 4.536 Å, c = 11.596 Å
α = 90.00°, β = 111.58°, γ = 90.00°
Space group P2_1/m (No. 11)
Inequivalent atoms, fractional coordinates:
1 Cs 0.249 0.250 0.215 (multiplicity 2)
2 Ho 0.177 0.750 0.635 (multiplicity 2)
3 Hg 0.419 0.250 0.881 (multiplicity 2)
4 Te 0.036 0.750 0.356 (multiplicity 2)
5 Te 0.259 0.750 0.934 (multiplicity 2)
6 Te 0.403 0.250 0.635 (multiplicity 2)

---

Record 10
Density functional theory data (PBE-GGA) for a geometry-optimized CsHg2I5 structure.

Calculated values
crystal system	monoclinic

a = 9.051 Å, b = 6.924 Å, c = 12.156 Å
α = 90.00°, β = 107.17°, γ = 90.00°
Space group P2_1/m (No. 11)
Inequivalent atoms, fractional coordinates:
1 Cs 0.030 0.250 0.256 (multiplicity 2)
2 Hg 0.374 0.750 0.560 (multiplicity 2)
3 Hg 0.467 0.750 0.160 (multiplicity 2)
4 I 0.073 0.750 0.428 (multiplicity 2)
5 I 0.155 0.750 0.093 (multiplicity 2)
6 I 0.253 0.250 0.875 (multiplicity 2)
7 I 0.401 0.250 0.567 (multiplicity 2)
8 I 0.474 0.250 0.207 (multiplicity 2)

---

Record 11
Density functional theory data (PBE-GGA) for a geometry-optimized CsHg3I structure.

Calculated values
crystal system	cubic

a = 6.790 Å, b = 6.790 Å, c = 6.790 Å
α = 90.00°, β = 90.00°, γ = 90.00°
Space group Pm-3m (No. 221)
Inequivalent atoms, fractional coordinates:
1 Cs 0.000 0.000 0.000 (multiplicity 1)
2 Hg 0.000 0.500 0.500 (multiplicity 3)
3 I 0.500 0.500 0.500 (multiplicity 1)

---

Record 12
Density functional theory data (PBE-GGA) for a geometry-optimized Cs2InHgI6 structure.

Calculated values
crystal system	monoclinic

a = 14.899 Å, b = 8.605 Å, c = 8.602 Å
α = 90.00°, β = 125.25°, γ = 90.00°
Space group C2/m (No. 12)
Inequivalent atoms, fractional coordinates:
1 Cs 0.250 0.000 0.250 (multiplicity 4)
2 In 0.000 0.000 0.500 (multiplicity 2)
3 Hg 0.000 0.500 0.000 (multiplicity 2)
4 I 0.001 0.247 0.254 (multiplicity 8)
5 I 0.247 0.000 0.748 (multiplicity 4)

---

Record 13
Density functional theory data (PBE-GGA) for a geometry-optimized Cs2LiHgI6 structure.

Calculated values
crystal system	tetragonal

a = 8.439 Å, b = 8.439 Å, c = 11.937 Å
α = 90.00°, β = 90.00°, γ = 90.00°
Space group I4/m (No. 87)
Inequivalent atoms, fractional coordinates:
1 Cs 0.000 0.500 0.250 (multiplicity 4)
2 Li 0.000 0.000 0.000 (multiplicity 2)
3 Hg 0.000 0.000 0.500 (multiplicity 2)
4 I 0.000 0.000 0.247 (multiplicity 4)
5 I 0.246 0.751 0.000 (multiplicity 8)

---

Record 14
Density functional theory data (PBE-GGA) for a geometry-optimized Cs2NaHgI6 structure.

Calculated values
crystal system	tetragonal

a = 8.641 Å, b = 8.641 Å, c = 12.251 Å
α = 90.00°, β = 90.00°, γ = 90.00°
Space group I4/m (No. 87)
Inequivalent atoms, fractional coordinates:
1 Cs 0.000 0.500 0.250 (multiplicity 4)
2 Na 0.000 0.000 0.000 (multiplicity 2)
3 Hg 0.000 0.000 0.500 (multiplicity 2)
4 I 0.000 0.000 0.255 (multiplicity 4)
5 I 0.235 0.745 0.500 (multiplicity 8)

---

Record 15
Density functional theory data (PBE-GGA) for a geometry-optimized CsHg3IrO4 structure.

Calculated values
crystal system	cubic

a = 6.719 Å, b = 6.719 Å, c = 6.719 Å
α = 90.00°, β = 90.00°, γ = 90.00°
Space group P-43m (No. 215)
Inequivalent atoms, fractional coordinates:
1 Cs 0.000 0.000 0.000 (multiplicity 1)
2 Hg 0.000 0.500 0.500 (multiplicity 3)
3 Ir 0.500 0.500 0.500 (multiplicity 1)
4 O 0.343 0.343 0.343 (multiplicity 4)

---

Record 16
Density functional theory data (PBE-GGA) for a geometry-optimized CsHg3IrS4 structure.

Calculated values
crystal system	cubic

a = 7.283 Å, b = 7.283 Å, c = 7.283 Å
α = 90.00°, β = 90.00°, γ = 90.00°
Space group P-43m (No. 215)
Inequivalent atoms, fractional coordinates:
1 Cs 0.000 0.000 0.000 (multiplicity 1)
2 Hg 0.000 0.500 0.500 (multiplicity 3)
3 Ir 0.500 0.500 0.500 (multiplicity 1)
4 S 0.326 0.326 0.326 (multiplicity 4)

---

Record 17
Density functional theory data (PBE-GGA) for a geometry-optimized CsHg3IrSe4 structure.

Calculated values
crystal system	cubic

a = 7.278 Å, b = 7.278 Å, c = 7.278 Å
α = 90.00°, β = 90.00°, γ = 90.00°
Space group P-43m (No. 215)
Inequivalent atoms, fractional coordinates:
1 Cs 0.000 0.000 0.000 (multiplicity 1)
2 Hg 0.000 0.500 0.500 (multiplicity 3)
3 Ir 0.500 0.500 0.500 (multiplicity 1)
4 Se 0.315 0.315 0.315 (multiplicity 4)

---

Record 18
Density functional theory data (PBE-GGA) for a geometry-optimized CsKHg4 structure.

Calculated values
energy above the lowest structure with this stoichiometry	12	meV per atom
crystal system	orthorhombic

a = 5.525 Å, b = 8.747 Å, c = 9.465 Å
α = 90.00°, β = 90.00°, γ = 90.00°
Space group Imm2 (No. 44)
Inequivalent atoms, fractional coordinates:
1 Cs 0.000 0.000 0.000 (multiplicity 2)
2 K 0.000 0.500 0.898 (multiplicity 2)
3 Hg 0.000 0.184 0.607 (multiplicity 4)
4 Hg 0.000 0.310 0.278 (multiplicity 4)

---

Record 19
Density functional theory data (PBE-GGA) for a geometry-optimized CsKHg structure.

Calculated values
energy above the lowest structure with this stoichiometry	0	meV per atom
crystal system	cubic

a = 9.002 Å, b = 9.002 Å, c = 9.002 Å
α = 90.00°, β = 90.00°, γ = 90.00°
Space group F-43m (No. 216)
Inequivalent atoms, fractional coordinates:
1 Cs 0.000 0.000 0.000 (multiplicity 4)
2 K 0.000 0.000 0.500 (multiplicity 4)
3 Hg 0.250 0.250 0.250 (multiplicity 4)

---

Record 20
Density functional theory data (PBE-GGA) for a geometry-optimized CsKHg structure.

Calculated values
energy above the lowest structure with this stoichiometry	176	meV per atom
crystal system	cubic

a = 9.222 Å, b = 9.222 Å, c = 9.222 Å
α = 90.00°, β = 90.00°, γ = 90.00°
Space group F-43m (No. 216)
Inequivalent atoms, fractional coordinates:
1 Cs 0.000 0.000 0.000 (multiplicity 4)
2 K 0.250 0.250 0.250 (multiplicity 4)
3 Hg 0.250 0.250 0.750 (multiplicity 4)

---

Record 21
Density functional theory data (PBE-GGA) for a geometry-optimized CsKHg4 structure.

Calculated values
energy above the lowest structure with this stoichiometry	0	meV per atom
crystal system	hexagonal

a = 5.5743 Å, b = 5.5743 Å, c = 8.6110 Å
α = 90.00°, β = 90.00°, γ = 120.00°
Space group P6/mmm (No. 191)
Inequivalent atoms, fractional coordinates:
1 Cs 0.0000 0.0000 0.0000 (multiplicity 1)
2 K 0.0000 0.0000 0.5000 (multiplicity 1)
3 Hg 0.3333 0.6667 0.3029 (multiplicity 4)

---

Record 22
Density functional theory data (PBE-GGA) for a geometry-optimized CsKHg2Sb2 structure.

Calculated values
crystal system	trigonal

a = 4.9175 Å, b = 4.9175 Å, c = 11.1931 Å
α = 90.00°, β = 90.00°, γ = 120.00°
Space group P3m1 (No. 156)
Inequivalent atoms, fractional coordinates:
1 Cs 0.0000 0.0000 0.0000 (multiplicity 1)
2 K 0.0000 0.0000 0.5003 (multiplicity 1)
3 Hg 0.3333 0.6667 0.7216 (multiplicity 1)
4 Hg 0.6667 0.3333 0.2829 (multiplicity 1)
5 Sb 0.3333 0.6667 0.2627 (multiplicity 1)
6 Sb 0.6667 0.3333 0.7369 (multiplicity 1)

---

Record 23
Density functional theory data (PBE-GGA) for a geometry-optimized Cs2K2HgSb2 structure.

Calculated values
energy above the lowest structure with this stoichiometry	3	meV per atom
crystal system	trigonal

a = 6.4313 Å, b = 6.4313 Å, c = 29.7577 Å
α = 90.00°, β = 90.00°, γ = 120.00°
Space group R-3m (No. 166, hexagonal axes)
Inequivalent atoms, fractional coordinates:
1 Cs 0.0000 0.0000 0.1150 (multiplicity 6)
2 K 0.0000 0.0000 0.2915 (multiplicity 6)
3 Hg 0.0000 0.0000 0.5000 (multiplicity 3)
4 Sb 0.0000 0.0000 0.4088 (multiplicity 6)

---

Record 24
Density functional theory data (PBE-GGA) for a geometry-optimized CsKHg2Sb2 structure.

Calculated values
crystal system	trigonal

a = 4.9257 Å, b = 4.9257 Å, c = 11.2091 Å
α = 90.00°, β = 90.00°, γ = 120.00°
Space group P-3m1 (No. 164)
Inequivalent atoms, fractional coordinates:
1 Cs 0.0000 0.0000 0.0000 (multiplicity 1)
2 K 0.0000 0.0000 0.5000 (multiplicity 1)
3 Hg 0.3333 0.6667 0.2750 (multiplicity 2)
4 Sb 0.3333 0.6667 0.7376 (multiplicity 2)

---

The following DFT total energy values (in eV/atom) correspond, in order, to the records above: -0.692, -0.224, -0.589, -4.266, -4.182, -3.810, -3.909, -3.385, -3.490, -1.760, -0.847, -2.263, -2.177, -2.121, -3.685, -3.112, -2.858, -0.795, -0.888, -0.712, -0.807, -2.182, -2.226, -2.182.